No. 1
Hg5Pb: relaxed, GGA-PBEsol.

Properties
- Polymorph energy (0 for the lowest one): 0.37 eV/f.u.

Unit cell a=5.9529 b=5.9529 c=5.9529 alpha=60.00 beta=60.00 gamma=60.00
Positions (direct):
Hg  0.6249  0.1254  0.6249
Hg  0.2500  0.2500  0.2500
Hg  0.1254  0.6249  0.6249
Hg  0.6249  0.6249  0.1254
Hg  0.6249  0.6249  0.6249
Pb  0.0000  0.0000  0.0000

***

No. 2
TlSi2Tc: relaxed, GGA-PBEsol.

Properties
- Polymorph energy (0 for the lowest one): 1.49 eV/f.u.

Unit cell a=3.2053 b=4.8913 c=5.1767 alpha=118.19 beta=108.03 gamma=90.00
Positions (direct):
Si  0.2234  0.2234  0.4468
Si  0.7766  0.7766  0.5532
Tc  0.5000  0.0000  0.0000
Tl  0.0000  0.5000  0.0000

***

No. 3
ZrFe2W: relaxed, GGA-PBEsol.

Properties
- Total DFT energy (no corrections): -9.96 eV/atom

Unit cell a=3.5998 b=3.5998 c=5.0468 alpha=110.89 beta=110.89 gamma=90.00
Site moments in Bohr magnetons follow the coordinates.
Positions (direct):
Fe  0.7500  0.2500  0.5000  0.17
Fe  0.0000  0.0000  0.0000  0.65
Zr  0.2500  0.7500  0.5000  -0.03
W  0.5000  0.5000  0.0000  -0.07

***

No. 4
CuPt: relaxed, GGA-PBEsol.

Properties
- Total DFT energy (no corrections): -5.72 eV/atom

Unit cell a=3.7375 b=5.3495 c=8.0180 alpha=90.00 beta=90.00 gamma=90.00
Positions (direct):
Cu  0.0000  0.2410  0.0000
Cu  0.5000  0.0000  0.5000
Cu  0.5000  0.5000  0.5000
Cu  0.0000  0.7590  0.0000
Cu  0.5000  0.0000  0.1601
Cu  0.5000  0.0000  0.8399
Pt  0.0000  0.7534  0.3323
Pt  0.0000  0.2466  0.3323
Pt  0.5000  0.5000  0.1619
Pt  0.5000  0.5000  0.8381
Pt  0.0000  0.7534  0.6677
Pt  0.0000  0.2466  0.6677

***

No. 5
Mo3Cl: relaxed, GGA-PBEsol.

Properties
- Polymorph energy (0 for the lowest one): 0.00 eV/f.u.

Unit cell a=2.7965 b=2.7965 c=8.5411 alpha=90.00 beta=90.00 gamma=111.87
Positions (direct):
Cl  0.0000  0.0000  0.0000
Mo  0.0000  0.0000  0.5000
Mo  0.5000  0.5000  0.2542
Mo  0.5000  0.5000  0.7458

***

No. 6
NbBOsF2: relaxed, GGA-PBEsol.

Properties
- Total DFT energy (no corrections): -6.44 eV/atom

Unit cell a=3.5366 b=3.5366 c=5.2680 alpha=90.00 beta=90.00 gamma=90.00
Site moments in Bohr magnetons follow the coordinates.
Positions (direct):
Nb  0.0000  0.0000  0.5000  -0.12
Os  0.5000  0.5000  0.5000  0.86
F  0.0000  0.5000  0.0000  0.01
F  0.5000  0.0000  0.0000  0.01
B  0.0000  0.0000  0.0000  0.04

***

no.,calculated density (g cm⁻³)
1,13.47
2,8.89
3,11.37
4,16.07
5,8.66
6,8.37